! Cr2Ni6Rh, optimized geometry, DFT PBE; values from VASP
&SYSTEM
  ibrav = 0, nat = 9, ntyp = 3
/
ATOMIC_SPECIES
Cr 52.00 Cr.upf
Ni 58.69 Ni.upf
Rh 102.91 Rh.upf
ATOMIC_POSITIONS angstrom
Cr 1.775 1.835 5.381
Cr 1.775 8.873 5.381
Ni 1.775 3.541 3.603
Ni 1.775 5.354 1.833
Ni 1.775 3.541 7.159
Ni 1.775 7.166 3.603
Ni 1.775 5.354 8.929
Ni 1.775 7.166 7.159
Rh 1.775 5.354 5.381
CELL_PARAMETERS angstrom
0.000 5.354 5.381
1.775 0.000 5.381
1.775 5.354 0.000
! **Total magnetic moment**: 0.00 μB per formula unit
! **DFT formation energy**: 0.002 eV/atom
! **Space group**: Fmmm